Below is an optimized crystal structure of NaPmTe2, with properties calculated at the PBE-GGA level.

Structure (extended XYZ):
```
4
Lattice="2.254 1.301 7.550 -2.254 1.301 7.550 0.000 -2.602 7.550" Properties=species:S:1:pos:R:3 pbc="T T T"
Na 0.000 0.000 0.000
Pm 0.000 0.000 11.325
Te 0.000 0.000 5.570
Te 0.000 0.000 17.079
```

Properties
The calculation puts the total energy at -17.7 eV per cell. The crystal system is trigonal. The space-group type is R-3m. Its volume is 33.2 Å³ per atom.

=====

Below is an optimized crystal structure of NaPmW, with properties calculated at the PBE-GGA level.

Structure (extended XYZ):
```
3
Lattice="0.000 3.519 3.519 3.519 0.000 3.519 3.519 3.519 0.000" Properties=species:S:1:pos:R:3 pbc="T T T"
Na 0.000 0.000 0.000
Pm 3.519 3.519 3.519
W 1.759 1.759 1.759
```

Properties
The calculation puts the total energy at -14.2 eV per cell. The crystal system is cubic. The space-group type is F-43m. Its volume is 29.0 Å³ per atom.

=====

Below is an optimized crystal structure of NaPmY, with properties calculated at the PBE-GGA level.

Structure (extended XYZ):
```
3
Lattice="0.000 3.795 3.795 3.795 0.000 3.795 3.795 3.795 0.000" Properties=species:S:1:pos:R:3 pbc="T T T"
Na 0.000 0.000 0.000
Pm 5.693 5.693 5.693
Y 1.898 1.898 1.898
```

Properties
The calculation puts the total energy at -10.2 eV per cell. The crystal system is cubic. The space-group type is F-43m. Its volume is 36.5 Å³ per atom.

=====

Below is an optimized crystal structure of NaPmZr, with properties calculated at the PBE-GGA level.

Structure (extended XYZ):
```
3
Lattice="0.000 3.728 3.728 3.728 0.000 3.728 3.728 3.728 0.000" Properties=species:S:1:pos:R:3 pbc="T T T"
Na 0.000 0.000 0.000
Pm 3.728 3.728 3.728
Zr 1.864 1.864 1.864
```

Properties
The calculation puts the total energy at -11.0 eV per cell. The crystal system is cubic. The space-group type is F-43m. Its volume is 34.5 Å³ per atom.

=====

Below is an optimized crystal structure of NaPmZr, with properties calculated at the PBE-GGA level.

Structure (extended XYZ):
```
3
Lattice="0.000 3.697 3.697 3.697 0.000 3.697 3.697 3.697 0.000" Properties=species:S:1:pos:R:3 pbc="T T T"
Na 0.000 0.000 0.000
Pm 1.848 1.848 1.848
Zr 3.697 3.697 3.697
```

Properties
The calculation puts the total energy at -10.7 eV per cell. The crystal system is cubic. The space-group type is F-43m. Its volume is 33.7 Å³ per atom.

=====

Below is an optimized crystal structure of NaPr5, with properties calculated at the PBE-GGA level.

Structure (extended XYZ):
```
6
Lattice="6.851 0.000 0.000 -3.425 5.933 0.000 0.000 0.000 5.905" Properties=species:S:1:pos:R:3 pbc="T T T"
Na 0.000 0.000 0.000
Pr -1.713 2.967 2.952
Pr 0.000 3.955 0.000
Pr 3.425 0.000 2.952
Pr 1.713 2.967 2.952
Pr 3.425 1.978 0.000
```

Properties
The calculation puts the total energy at -22.6 eV per cell. The crystal system is hexagonal. The space-group type is P6/mmm. Its volume is 40.0 Å³ per atom.

=====

no.,theoretical density (g/cm3)
1,5.29
2,6.71
3,3.90
4,4.15
5,4.26
6,5.03